Entry 1:
# PmBeFe | Alexandria | PBE | relaxed
data_PmBeFe
_cell_length_a 4.130
_cell_length_b 4.130
_cell_length_c 5.986
_cell_angle_alpha 90.00
_cell_angle_beta 90.00
_cell_angle_gamma 90.00
_space_group_name_H-M_alt 'P 4/n m m'
_space_group_IT_number 129
loop_
_space_group_symop_operation_xyz
'x,y,z'
'-x,-y,-z'
'-y+1/2,x,z'
'y+1/2,-x,-z'
'-x+1/2,-y+1/2,z'
'x+1/2,y+1/2,-z'
'y,-x+1/2,z'
'-y,x+1/2,-z'
'x+1/2,-y,-z'
'-x+1/2,y,z'
'-y,-x,-z'
'y,x,z'
'-x,y+1/2,-z'
'x,-y+1/2,z'
'y+1/2,x+1/2,-z'
'-y+1/2,-x+1/2,z'
loop_
_atom_site_label
_atom_site_type_symbol
_atom_site_fract_x
_atom_site_fract_y
_atom_site_fract_z
_atom_site_occupancy
Pm1 Pm 0.250 0.250 0.179 1
Be1 Be 0.250 0.250 0.638 1
Fe1 Fe 0.250 0.750 0.500 1
# Crystal system   tetragonal
# DFT total energy   -5.646 eV/atom

***

Entry 2:
# KRbNa2Cl | Alexandria | PBE | relaxed
data_KRbNa2Cl
_cell_length_a 6.143
_cell_length_b 6.143
_cell_length_c 6.308
_cell_angle_alpha 90.00
_cell_angle_beta 90.00
_cell_angle_gamma 90.00
_space_group_name_H-M_alt 'P 4/m m m'
_space_group_IT_number 123
_space_group_name_Hall '-P 4 2'
loop_
_atom_site_label
_atom_site_type_symbol
_atom_site_fract_x
_atom_site_fract_y
_atom_site_fract_z
_atom_site_occupancy
K1 K 0.000 0.000 0.000 1
Rb1 Rb 0.500 0.500 0.000 1
Na1 Na 0.000 0.500 0.500 1
Cl1 Cl 0.000 0.000 0.500 1
# Raw formation energy   -0.559 eV/atom
# Crystal system   tetragonal

***

Entry 3:
# CeGd2Tm | Alexandria | PBE | relaxed
data_CeGd2Tm
_cell_length_a 4.979
_cell_length_b 4.979
_cell_length_c 5.025
_cell_angle_alpha 90.00
_cell_angle_beta 90.00
_cell_angle_gamma 90.00
_space_group_name_H-M_alt 'P 4/m m m'
_space_group_IT_number 123
_space_group_name_Hall '-P 4 2'
loop_
_atom_site_label
_atom_site_type_symbol
_atom_site_fract_x
_atom_site_fract_y
_atom_site_fract_z
_atom_site_occupancy
Ce1 Ce 0.000 0.000 0.000 1
Gd1 Gd 0.000 0.500 0.500 1
Tm1 Tm 0.500 0.500 0.000 1
# Crystal system   tetragonal
# DFT total energy   -9.564 eV/atom

***

Entry 4:
# Li2Al3Au2 | Alexandria | PBE | relaxed
data_Li2Al3Au2
_cell_length_a 9.413
_cell_length_b 4.271
_cell_length_c 6.531
_cell_angle_alpha 90.00
_cell_angle_beta 110.46
_cell_angle_gamma 90.00
_space_group_name_H-M_alt 'C 1 2/m 1'
_space_group_IT_number 12
_space_group_name_Hall '-C 2y'
loop_
_atom_site_label
_atom_site_type_symbol
_atom_site_fract_x
_atom_site_fract_y
_atom_site_fract_z
_atom_site_occupancy
Li1 Li 0.159 0.000 0.288 1
Al1 Al 0.000 0.500 0.500 1
Al2 Al 0.130 0.500 0.955 1
Au1 Au 0.129 0.000 0.710 1
# Crystal system   monoclinic
# DFT total energy   -3.516 eV/atom

***

Entry 5:
# LiPuH2F6 | Alexandria | PBE | relaxed
data_LiPuH2F6
_cell_length_a 4.103
_cell_length_b 6.342
_cell_length_c 9.772
_cell_angle_alpha 90.00
_cell_angle_beta 109.36
_cell_angle_gamma 90.00
_space_group_name_H-M_alt 'P 1 21/c 1'
_space_group_IT_number 14
_space_group_name_Hall '-P 2ybc'
loop_
_atom_site_label
_atom_site_type_symbol
_atom_site_fract_x
_atom_site_fract_y
_atom_site_fract_z
_atom_site_occupancy
Li1 Li 0.000 0.000 0.000 1
Pu1 Pu 0.500 0.000 0.500 1
H1 H 0.431 0.080 0.816 1
F1 F 0.007 0.695 0.952 1
F2 F 0.313 0.144 0.896 1
F3 F 0.404 0.508 0.749 1
# Crystal system   monoclinic
# DFT total energy   -6.062 eV/atom

***

Entry 6:
# CrSeSN2 | Alexandria | PBE | relaxed
data_CrSeSN2
_cell_length_a 3.664
_cell_length_b 3.664
_cell_length_c 5.372
_cell_angle_alpha 90.00
_cell_angle_beta 90.00
_cell_angle_gamma 90.00
_space_group_name_H-M_alt 'P 4/m m m'
_space_group_IT_number 123
_space_group_name_Hall '-P 4 2'
loop_
_atom_site_label
_atom_site_type_symbol
_atom_site_fract_x
_atom_site_fract_y
_atom_site_fract_z
_atom_site_occupancy
Cr1 Cr 0.000 0.000 0.000 1
Se1 Se 0.500 0.500 0.500 1
S1 S 0.000 0.000 0.500 1
N1 N 0.000 0.500 0.000 1
# Raw formation energy   0.663 eV/atom
# Crystal system   tetragonal